(1)
The following is a DFT calculation (GGA-PBE) of a relaxed structure of AlTeO4.

abc: 4.5755 4.9273 11.5834
angles: 90.00 90.00 90.00
Element x y z (fractional)
O: 0.2769 0.0886 0.8133
O: 0.7231 0.4114 0.8133
O: 0.7231 0.9114 0.1867
O: 0.2717 0.0710 0.0512
O: 0.2283 0.5710 0.4488
O: 0.7769 0.4114 0.3133
O: 0.2769 0.5886 0.1867
O: 0.7769 0.9114 0.6867
O: 0.2717 0.5710 0.9488
O: 0.7717 0.4290 0.5512
O: 0.7283 0.4290 0.0512
O: 0.2231 0.5886 0.6867
O: 0.2283 0.0710 0.5512
O: 0.2231 0.0886 0.3133
O: 0.7283 0.9290 0.9488
O: 0.7717 0.9290 0.4488
Al: 0.5000 0.2500 0.9362
Al: 0.0000 0.7500 0.5638
Al: 0.0000 0.2500 0.4362
Al: 0.5000 0.7500 0.0638
Te: 0.0000 0.2500 0.1664
Te: 0.5000 0.7500 0.3336
Te: 0.5000 0.2500 0.6664
Te: 0.0000 0.7500 0.8336

excess energy over the best structure of this formula in the dataset	0.000	eV/f.u.
energy relative to the elements, uncorrected	-1.735	eV/atom



(2)
The following is a DFT calculation (GGA-PBE) of a relaxed structure of Pr2AgPd3.

abc: 3.9853 7.5063 17.6639
angles: 90.00 90.00 90.00
Element x y z (fractional)
Pr: 0.7500 0.9073 0.2910
Pr: 0.7500 0.4073 0.2090
Pr: 0.2500 0.1590 0.9300
Pr: 0.2500 0.0927 0.7090
Pr: 0.7500 0.3410 0.4300
Pr: 0.2500 0.5927 0.7910
Pr: 0.2500 0.6590 0.5700
Pr: 0.7500 0.8410 0.0700
Pd: 0.2500 0.2171 0.3095
Pd: 0.7500 0.9058 0.8441
Pd: 0.2500 0.7171 0.1905
Pd: 0.2500 0.5942 0.3441
Pd: 0.7500 0.7829 0.6905
Pd: 0.2500 0.0942 0.1559
Pd: 0.7500 0.2300 0.0541
Pd: 0.7500 0.2829 0.8095
Pd: 0.2500 0.7700 0.9459
Pd: 0.7500 0.4058 0.6559
Pd: 0.7500 0.7300 0.4459
Pd: 0.2500 0.2700 0.5541
Ag: 0.7500 0.0099 0.5612
Ag: 0.2500 0.4901 0.0612
Ag: 0.2500 0.9901 0.4388
Ag: 0.7500 0.5099 0.9388

ΔE_f	-0.65	eV per atom
excess energy over the best structure of this formula in the dataset	0.000	eV/f.u.



(3)
The following is a DFT calculation (GGA-PBE) of a relaxed structure of LiB13C2.

abc: 7.3212 7.3212 7.3212
angles: 134.37 113.35 84.52
Element x y z (fractional)
B: 0.7344 0.4253 0.8032
B: 0.0034 0.1761 0.8273
B: 0.7344 0.9312 0.3091
B: 0.1314 0.4312 0.2061
B: 0.5757 0.5833 0.9924
B: 0.1640 0.4788 0.0054
B: 0.4091 0.4167 0.9924
B: 0.8580 0.6761 0.1820
B: 0.7749 0.0747 0.2061
B: 0.5266 0.8414 0.0054
B: 0.1314 0.9253 0.7002
B: 0.3453 0.0212 0.0038
B: 0.3779 0.0688 0.8032
B: 0.3453 0.3414 0.3240
B: 0.6512 0.8239 0.8273
B: 0.1002 0.0833 0.0169
B: 0.5266 0.5212 0.6852
B: 0.9826 0.6586 0.0038
B: 0.6404 0.0000 0.6404
B: 0.1640 0.1586 0.6852
B: 0.7749 0.5688 0.7002
B: 0.5059 0.3239 0.1820
B: 0.3779 0.5747 0.3091
B: 0.9336 0.9167 0.0169
B: 0.8689 0.5000 0.3689
B: 0.9826 0.9788 0.3240
Li: 0.2003 0.5000 0.7003
Li: 0.3088 0.0000 0.3088
C: 0.5032 0.8691 0.6341
C: 0.7443 0.3691 0.3752
C: 0.0061 0.6309 0.3752
C: 0.7650 0.1309 0.6341

ΔE_f	-0.17	eV per atom



(4)
The following is a DFT calculation (GGA-PBE) of a relaxed structure of Cs2KNp2O7.

abc: 4.3372 4.3372 12.3412
angles: 79.90 79.90 90.00
Each line ends with the local moment (μB).
Element x y z (fractional)
O: 0.5000 0.5000 0.0000  -0.07
O: 0.3295 0.3295 0.3417  -0.08
O: 0.4127 0.9127 0.1751  -0.08
O: 0.9127 0.4127 0.1751  -0.08
O: 0.6705 0.6705 0.6583  -0.08
O: 0.5873 0.0873 0.8249  -0.08
O: 0.0873 0.5873 0.8249  -0.08
Cs: 0.1895 0.1895 0.6203  0.00
Cs: 0.8105 0.8105 0.3797  0.00
K: 0.0000 0.0000 0.0000  0.00
Np: 0.4113 0.4113 0.1777  1.75
Np: 0.5887 0.5887 0.8223  1.75

energy relative to the elements, uncorrected	-2.536	eV/atom



(5)
The following is a DFT calculation (GGA-PBE) of a relaxed structure of SnAsCl.

abc: 3.7020 4.7694 10.8181
angles: 90.97 99.81 90.45
Element x y z (fractional)
Cl: 0.7958 0.1991 0.8552
Cl: 0.9194 0.7723 0.1113
As: 0.6070 0.7752 0.4698
As: 0.1745 0.6118 0.6113
Sn: 0.0114 0.2787 0.4022
Sn: 0.3228 0.7855 0.9229

excess energy over the best structure of this formula in the dataset	0.274	eV/f.u.
energy relative to the elements, uncorrected	-0.371	eV/atom



(6)
The following is a DFT calculation (GGA-PBE) of a relaxed structure of LaPm2TmTh.

abc: 6.4347 8.6929 6.4146
angles: 98.22 90.00 90.00
Element x y z (fractional)
Pm: 0.6879 0.3162 0.7051
Pm: 0.6879 0.6838 0.7949
Pm: 0.3121 0.6838 0.2949
Pm: 0.3121 0.3162 0.2051
Tm: 0.8283 0.5000 0.2500
Tm: 0.1717 0.5000 0.7500
Th: 0.5451 0.0000 0.2500
Th: 0.4549 0.0000 0.7500
La: 0.0000 0.0000 0.0000
La: 0.0000 0.0000 0.5000

ΔE_f	0.31	eV per atom



(7)
The following is a DFT calculation (GGA-PBE) of a relaxed structure of FeSnHRh2.

abc: 4.0376 4.0376 3.8500
angles: 90.00 90.00 90.00
Each line ends with the local moment (μB).
Element x y z (fractional)
Rh: 0.5000 0.0000 0.0000  0.24
Rh: 0.0000 0.5000 0.0000  0.24
H: 0.0000 0.0000 0.0000  -0.01
Sn: 0.5000 0.5000 0.5000  -0.07
Fe: 0.0000 0.0000 0.5000  2.67



(8)
The following is a DFT calculation (GGA-PBE) of a relaxed structure of PHSeCl2.

abc: 5.2557 5.2557 4.8321
angles: 90.00 90.00 90.00
Each line ends with the local moment (μB).
Element x y z (fractional)
P: 0.0000 0.0000 0.5000  0.67
Se: 0.0000 0.0000 0.0000  -0.06
Cl: 0.5000 0.0000 0.0000  0.05
Cl: 0.0000 0.5000 0.0000  0.05
H: 0.5000 0.5000 0.5000  0.37

excess energy over the best structure of this formula in the dataset	0.000	eV/f.u.



(9)
The following is a DFT calculation (GGA-PBE) of a relaxed structure of InSbPbF2.

abc: 4.6183 6.2270 4.6183
angles: 90.00 90.00 90.00
Element x y z (fractional)
F: 0.5000 0.0000 0.0000
F: 0.0000 0.0000 0.5000
Sb: 0.0000 0.5000 0.0000
Pb: 0.0000 0.0000 0.0000
In: 0.5000 0.5000 0.5000

energy relative to the elements, uncorrected	-1.159	eV/atom



(10)
The following is a DFT calculation (GGA-PBE) of a relaxed structure of Dy6CuPd2.

abc: 8.4170 8.4170 8.4170
angles: 106.60 110.67 111.18
Element x y z (fractional)
Dy: 0.8139 0.2464 0.0602
Dy: 0.5520 0.7272 0.8248
Dy: 0.2976 0.9681 0.6705
Dy: 0.1861 0.2464 0.4325
Dy: 0.1861 0.7536 0.9398
Dy: 0.7024 0.3729 0.6705
Dy: 0.0976 0.2728 0.8248
Dy: 0.4480 0.2728 0.1752
Dy: 0.7024 0.0319 0.3295
Dy: 0.8139 0.7536 0.5675
Dy: 0.2976 0.6271 0.3295
Dy: 0.9024 0.7272 0.1752
Pd: 0.5000 0.3671 0.8671
Pd: 0.6600 0.0000 0.6600
Pd: 0.3400 0.0000 0.3400
Pd: 0.5000 0.6329 0.1329
Cu: 0.0000 0.5000 0.5000
Cu: 0.0000 0.0000 0.0000

ΔE_f	-0.43	eV per atom
excess energy over the best structure of this formula in the dataset	0.000	eV/f.u.



(11)
The following is a DFT calculation (GGA-PBE) of a relaxed structure of BaCrRh2.

abc: 4.9458 4.9458 4.9458
angles: 126.85 116.48 87.39
Each line ends with the local moment (μB).
Element x y z (fractional)
Ba: 0.7500 0.2500 0.5000  0.02
Rh: 0.4558 0.4558 0.0000  0.02
Rh: 0.0442 0.0442 0.0000  0.02
Cr: 0.2500 0.7500 0.5000  3.33

ΔE_f	0.49	eV per atom
excess energy over the best structure of this formula in the dataset	1.609	eV/f.u.



(12)
The following is a DFT calculation (GGA-PBE) of a relaxed structure of BaSrCr2Ag.

abc: 5.2172 6.0971 5.2172
angles: 90.00 90.00 90.00
Each line ends with the local moment (μB).
Element x y z (fractional)
Sr: 0.0000 0.5000 0.0000  -0.10
Ba: 0.0000 0.0000 0.0000  -0.13
Cr: 0.0000 0.0000 0.5000  3.26
Cr: 0.5000 0.0000 0.0000  3.71
Ag: 0.5000 0.5000 0.5000  0.00

ΔE_f	1.81	eV per atom



no.,calculated density (g/cm3),E (eV per cell),size of the total moment (μB per formula unit)
1,5.6,-148.51,0.0
2,8.9,-127.61,0.0
3,2.3,-219.89,0.0
4,6.6,-93.83,3.0
5,4.0,-23.23,0.0
6,7.8,-49.57,0.0
7,10.1,-31.46,3.1
8,2.3,-11.77,2.4
9,6.0,-20.11,0.0
10,9.1,-92.00,0.0
11,8.0,-24.30,3.8
12,4.4,-16.67,7.0